The following is a DFT calculation (PBE) of Pm2PrNd3 after structural relaxation.

Cell and atoms, written as CIF:
```
data_Pm2PrNd3
_symmetry_space_group_name_H-M 'P 1'
_symmetry_Int_Tables_number 1
_symmetry_space_group_name_Hall 'P 1'
_cell_length_a 6.7196
_cell_length_b 3.5126
_cell_length_c 12.6975
_cell_angle_alpha 97.95
_cell_angle_beta 133.98
_cell_angle_gamma 90.00
loop_
_atom_site_label
_atom_site_type_symbol
_atom_site_fract_x
_atom_site_fract_y
_atom_site_fract_z
_atom_site_occupancy
Nd1 Nd 0.5000 0.0000 0.0000 1
Nd2 Nd 0.7996 0.8282 0.6563 1
Nd3 Nd 0.2004 0.1718 0.3437 1
Pm1 Pm 0.6791 0.6626 0.3252 1
Pm2 Pm 0.3209 0.3374 0.6748 1
Pr1 Pr 0.0000 0.0000 0.0000 1
```

Magnetization   0.000 μB per atom
Offset from the most stable computed form   0 meV per atom
Energy of formation   0.1369 eV/atom